(1)
TbPt2O6 | GGA-PBE | relaxed

The space group is P-31m (No. 162) and the conventional cell measures 5.2869, 5.2869 and 4.8456 Å, with angles of 90.00, 90.00 and 120.00 degrees. The distinct sites, in fractional coordinates, are Tb at (0.0000, 0.0000, 0.0000), Pt at (0.3333, 0.6667, 0.5000) and O at (0.0000, 0.3552, 0.7229).

As for the uncorrected formation energy: -1.31 eV/atom. The electronic total energy is -58.27 eV per cell.

---

(2)
Tb2PtO | GGA-PBE | relaxed

The space group is R-3m (No. 166, hexagonal axes) and the conventional cell measures 3.6631, 3.6631 and 19.9888 Å, with angles of 90.00, 90.00 and 120.00 degrees. The distinct sites, in fractional coordinates, are Tb at (0.0000, 0.0000, 0.2380), Pt at (0.0000, 0.0000, 0.0000) and O at (0.0000, 0.0000, 0.5000).

As for the uncorrected formation energy: -1.84 eV/atom. The calculation puts the relative energy among the computed polymorphs at 10.2 kJ per mole of atoms. The electronic total energy is -82.85 eV per cell.

---

(3)
TbPtO | GGA-PBE | relaxed

The space group is Cmcm (No. 63) and the conventional cell measures 3.848, 12.082 and 4.511 Å, with angles of 90.00, 90.00 and 90.00 degrees. The distinct sites, in fractional coordinates, are Tb at (0.000, 0.164, 0.250), Pt at (0.000, 0.461, 0.250) and O at (0.000, 0.239, 0.750).

As for the uncorrected formation energy: -2.05 eV/atom. The electronic total energy is -87.10 eV per cell.